1.
A relaxed ThPt7 crystal. Source: Alexandria, functional GGA-PBE.

Cell: 4.1092 4.1093 8.7350 Å, 103.60 103.60 90.00°
Closest atoms and distances in Å follow each position.
Fractional coordinates of all 8 atoms:
Pt (0.8699, 0.3699, 0.7397)  10 Pt 2.81-2.97, 2 Th 2.97
Pt (0.5000, 0.5000, 0.0000)  4 Th 2.91, 8 Pt 2.97
Pt (0.7463, 0.7463, 0.4925)  12 Pt 2.81-2.91
Pt (0.1301, 0.6301, 0.2603)  10 Pt 2.81-2.97, 2 Th 2.97
Pt (0.6301, 0.1301, 0.2603)  10 Pt 2.81-2.97, 2 Th 2.97
Pt (0.3699, 0.8699, 0.7397)  10 Pt 2.81-2.97, 2 Th 2.97
Pt (0.2537, 0.2537, 0.5075)  12 Pt 2.81-2.91
Th (0.0000, 0.0000, 0.0000)  12 Pt 2.91-2.97

Output
**ΔE_f**: -511 meV per atom
**Fermi-level density of states**: 9.38 states/eV per cell
**VASP energy**: -6.724 eV per atom
**Magnetization**: 0.00 μB per cell

***

2.
A relaxed TiNb4Ru5 crystal. Source: Alexandria, functional GGA-PBE.

Cell: 3.0653 3.0653 16.7974 Å, 90.00 90.00 90.00°
Closest atoms and distances in Å follow each position.
Fractional coordinates of all 10 atoms:
Ru (0.5000, 0.5000, 0.5000)  8 Nb 2.77, 4 Ru 3.07
Nb (0.0000, 0.0000, 0.1931)  8 Ru 2.76-2.77, 4 Nb 3.07
Ti (0.0000, 0.0000, 0.0000)  8 Ru 2.65
Ru (0.5000, 0.5000, 0.0908)  4 Ti 2.65, 4 Nb 2.77
Ru (0.5000, 0.5000, 0.2952)  8 Nb 2.76-2.77, 4 Ru 3.07
Nb (0.0000, 0.0000, 0.6023)  8 Ru 2.77, 4 Nb 3.07
Nb (0.0000, 0.0000, 0.3977)  8 Ru 2.77, 4 Nb 3.07
Ru (0.5000, 0.5000, 0.7048)  8 Nb 2.76-2.77, 4 Ru 3.07
Ru (0.5000, 0.5000, 0.9092)  4 Ti 2.65, 4 Nb 2.77
Nb (0.0000, 0.0000, 0.8069)  8 Ru 2.76-2.77, 4 Nb 3.07

Output
**ΔE_f**: -297 meV per atom
**Fermi-level density of states**: 13.68 states/eV per cell
**VASP energy**: -9.752 eV per atom
**Magnetization**: 0.00 μB per cell

***

3.
A relaxed AlCrHg2N crystal. Source: Alexandria, functional GGA-PBE.

Cell: 5.1832 3.3984 5.1832 Å, 90.00 90.00 90.00°
Closest atoms and distances in Å follow each position.
Fractional coordinates of all 5 atoms:
Cr (0.5000, 0.5000, 0.5000)  8 Hg 3.10, 2 Cr 3.40
Hg (0.0000, 0.0000, 0.5000)  2 N 2.59
Hg (0.5000, 0.0000, 0.0000)  2 N 2.59
Al (0.0000, 0.5000, 0.0000)  2 N 1.70
N (0.0000, 0.0000, 0.0000)  2 Al 1.70

Output
**Fermi-level density of states**: 5.61 states/eV per cell
**VASP energy**: -3.556 eV per atom
**Magnetization**: 0.09 μB per cell

***

4.
A relaxed Rb2Sb4Au5 crystal. Source: Alexandria, functional GGA-PBE.

Cell: 6.2973 7.9011 8.0134 Å, 80.99 66.86 66.51°
Closest atoms and distances in Å follow each position.
Fractional coordinates of all 11 atoms:
Sb (0.7720, 0.6962, 0.7597)  5 Au 2.76-2.86
Au (0.5000, 0.5000, 0.0000)  4 Sb 2.76
Rb (0.8543, 0.0000, 0.2915)  6 Au 3.81-4.24, 6 Sb 3.86-4.09
Au (0.0000, 0.5000, 0.0000)  4 Sb 2.76
Sb (0.4682, 0.3038, 0.7597)  5 Au 2.76-2.86
Rb (0.1457, 0.0000, 0.7085)  6 Au 3.81-4.24, 6 Sb 3.86-4.09
Au (0.5000, 0.0000, 0.0000)  4 Sb 2.83
Au (0.7500, 0.5000, 0.5000)  4 Sb 2.86, 2 Au 3.15
Au (0.2500, 0.5000, 0.5000)  4 Sb 2.86, 2 Au 3.15
Sb (0.2280, 0.3038, 0.2403)  5 Au 2.76-2.86
Sb (0.5318, 0.6962, 0.2403)  5 Au 2.76-2.86

Output
**Fermi-level density of states**: 3.37 states/eV per cell
**VASP energy**: -3.366 eV per atom
**Magnetization**: 0.00 μB per cell

***

5.
A relaxed Tl2AgO crystal. Source: Alexandria, functional GGA-PBE.

Cell: 7.0276 7.0276 6.1837 Å, 55.37 55.37 90.00°
Closest atoms and distances in Å follow each position.
Fractional coordinates of all 8 atoms:
Tl (0.5663, 0.1250, 0.2500)  2 O 2.40
Tl (0.3750, 0.4337, 0.7500)  2 O 2.40
Ag (0.7500, 0.2500, 0.5000)  4 Tl 2.94
Ag (0.0000, 0.0000, 0.0000)  4 Tl 2.94
O (0.5000, 0.5000, 0.0000)  4 Tl 2.40
Tl (0.1837, 0.6250, 0.2500)  2 O 2.40
Tl (0.8750, 0.8163, 0.7500)  2 O 2.40
O (0.2500, 0.7500, 0.5000)  4 Tl 2.40

Output
**Fermi-level density of states**: 3.22 states/eV per cell
**VASP energy**: -3.309 eV per atom
**Excess energy over the best structure of this formula in the dataset**: 0 meV per atom
**Magnetization**: 0.00 μB per cell

***

6.
A relaxed Pm7HoSn2 crystal. Source: Alexandria, functional GGA-PBE.

Cell: 5.5960 9.1267 9.1267 Å, 118.91 90.00 90.00°
Closest atoms and distances in Å follow each position.
Fractional coordinates of all 10 atoms:
Pm (0.5000, 0.9419, 0.6959)  2 Sn 3.18-3.29, 2 Pm 3.36-3.53
Pm (0.5000, 0.0581, 0.3041)  2 Sn 3.18-3.29, 2 Pm 3.36-3.53
Pm (0.0000, 0.2286, 0.7714)  2 Sn 3.03
Pm (0.5000, 0.5000, 0.5000)  2 Sn 3.09
Sn (0.5000, 0.6969, 0.3031)  7 Pm 3.03-3.29
Pm (0.5000, 0.3041, 0.0581)  2 Sn 3.18-3.29, 2 Pm 3.36-3.53
Ho (0.0000, 0.0000, 0.0000)  10 Pm 3.59-3.79
Sn (0.5000, 0.3031, 0.6969)  7 Pm 3.03-3.29
Pm (0.0000, 0.7714, 0.2286)  2 Sn 3.03
Pm (0.5000, 0.6959, 0.9419)  2 Sn 3.18-3.29, 2 Pm 3.36-3.53

Output
**ΔE_f**: 170 meV per atom
**Fermi-level density of states**: 20.55 states/eV per cell
**VASP energy**: -4.414 eV per atom
**Magnetization**: 0.00 μB per cell

***

7.
A relaxed Co6Sb crystal. Source: Alexandria, functional GGA-PBE.

Cell: 5.2230 5.2230 5.2230 Å, 109.47 109.47 109.47°
Closest atoms and distances in Å follow each position.
Fractional coordinates of all 7 atoms:
Co (0.5000, 0.2500, 0.7500)  4 Co 2.13
Co (0.7500, 0.2500, 0.5000)  4 Co 2.13
Co (0.7500, 0.5000, 0.2500)  4 Co 2.13
Co (0.2500, 0.7500, 0.5000)  4 Co 2.13
Co (0.2500, 0.5000, 0.7500)  4 Co 2.13
Sb (0.0000, 0.0000, 0.0000)  24 Co 3.37
Co (0.5000, 0.7500, 0.2500)  4 Co 2.13

Output
**Fermi-level density of states**: 11.99 states/eV per cell
**VASP energy**: -5.664 eV per atom
**Magnetization**: 0.01 μB per cell

***

8.
A relaxed Na2In2SnO6 crystal. Source: Alexandria, functional GGA-PBE.

Cell: 5.6203 5.6203 5.9414 Å, 99.25 99.25 119.47°
Closest atoms and distances in Å follow each position.
Fractional coordinates of all 11 atoms:
O (0.9411, 0.6138, 0.2981)  1 Sn 2.14, 2 In 2.20-2.26
O (0.0589, 0.3862, 0.7019)  1 Sn 2.14, 2 In 2.20-2.26
In (0.6646, 0.3354, 0.5000)  6 O 2.20-2.26
In (0.3354, 0.6646, 0.5000)  6 O 2.20-2.26
O (0.3862, 0.0589, 0.7019)  1 Sn 2.14, 2 In 2.20-2.26
O (0.2468, 0.2468, 0.3015)  1 Sn 2.10, 2 In 2.22
O (0.6138, 0.9411, 0.2981)  1 Sn 2.14, 2 In 2.20-2.26
Na (0.8303, 0.1697, 0.0000)  6 O 2.48-2.54
O (0.7532, 0.7532, 0.6985)  1 Sn 2.10, 2 In 2.22
Na (0.1697, 0.8303, 0.0000)  6 O 2.48-2.54
Sn (0.0000, 0.0000, 0.5000)  6 O 2.10-2.14

Output
**Fermi-level density of states**: 0.00 states/eV per cell
**VASP energy**: -5.442 eV per atom
**Magnetization**: 0.00 μB per cell